The following is a GGA-PBEsol calculation of a geometry-optimized Cd2Cu structure, from Alexandria.

Computed properties:
DOS(E_F) = 0.2555 states/eV per atom
SG = R-3m, No. 166
ΔH_f (0 K) = 0.09 eV per atom
total moment = 0.00 μB/atom

a b c (Å): 2.969 2.969 7.015
angles (deg): 77.78 77.78 60.00
Atoms (fractional coordinates):
Cd 0.230 0.230 0.309
Cd 0.770 0.770 0.691
Cu 0.000 0.000 0.000